# Rb3CrMo, optimized geometry, DFT PBE
# Calculated formation energy   8.2 eV/f.u.
# Distance to the lowest polymorph of the same formula   0.0000 eV per atom
# Crystal system   cubic
data_Rb3CrMo
_cell_length_a 6.9063
_cell_length_b 6.9063
_cell_length_c 6.9063
_cell_angle_alpha 90.00
_cell_angle_beta 90.00
_cell_angle_gamma 90.00
_space_group_name_H-M_alt 'P 1'
_space_group_IT_number 1
loop_
_space_group_symop_operation_xyz
'x,y,z'
loop_
_atom_site_label
_atom_site_type_symbol
_atom_site_fract_x
_atom_site_fract_y
_atom_site_fract_z
Rb1 Rb 0.0000 0.0000 0.5000
Rb2 Rb 0.0000 0.5000 0.0000
Rb3 Rb 0.5000 0.0000 0.0000
Cr1 Cr 0.0000 0.0000 0.0000
Mo1 Mo 0.5000 0.5000 0.5000